# 1
Computed, not measured: a geometry-optimized Tl2TeS8 structure at the PBE-GGA level of DFT.

Calculated values
Its raw total energy is -0.277 Ry per atom. As for the crystal system: triclinic. The formation energy without anion corrections is -55 meV per atom.

Unit cell a=7.7842 b=6.3846 c=11.4160 alpha=124.15 beta=122.82 gamma=52.01
Closest atoms and distances in Å follow each position.
Positions (direct):
S  0.6803  0.5428  0.3103  2 S 2.00-2.10
S  0.0470  0.2928  0.9808  1 S 2.10
Tl  0.8979  0.3632  0.6892  3 S 3.05-3.16
S  0.9530  0.7072  0.0192  1 S 2.10
S  0.3197  0.4572  0.6897  2 S 2.00-2.10
Te  0.5000  0.0000  0.0000  4 S 2.69-2.74
S  0.3898  0.7414  0.7037  1 S 2.10
S  0.6102  0.2586  0.2963  1 S 2.10
Tl  0.1021  0.6368  0.3108  3 S 3.05-3.16
S  0.3169  0.1590  0.4875  2 S 2.00-2.23
S  0.6831  0.8410  0.5125  2 S 2.00-2.23



# 2
Computed, not measured: a geometry-optimized Tl12Te5S2 structure at the PBE-GGA level of DFT.

Calculated values
Its raw total energy is -0.221 Ry per atom. As for the crystal system: monoclinic. The formation energy without anion corrections is -246 meV per atom.

Unit cell a=8.2490 b=9.6905 c=10.2288 alpha=77.39 beta=113.78 gamma=90.00
Closest atoms and distances in Å follow each position.
Positions (direct):
Tl  0.6079  0.5622  0.7072  4 Te 3.25-3.35
Tl  0.0647  0.1506  0.1293  2 S 2.95
Tl  0.5050  0.7815  0.0099  2 S 2.94
Tl  0.0993  0.5622  0.7072  4 Te 3.25-3.35
Tl  0.4950  0.2185  0.9901  2 S 2.94
Te  0.2870  0.3608  0.5741  6 Tl 3.24-3.31
Tl  0.5739  0.0908  0.6643  1 S 3.05, 2 Te 3.24-3.29, 1 Tl 3.40
Tl  0.9353  0.8494  0.8707  2 S 2.95
Te  0.0000  0.5000  0.0000  6 Tl 3.31-3.35
Tl  0.4261  0.9092  0.3357  1 S 3.05, 2 Te 3.24-3.29, 1 Tl 3.40
Te  0.6787  0.1737  0.3575  7 Tl 3.25-3.51
Tl  0.9007  0.4378  0.2928  4 Te 3.25-3.35
S  0.7500  0.0000  0.0000  6 Tl 2.94-3.05
Te  0.7130  0.6392  0.4259  6 Tl 3.24-3.31
Tl  0.3921  0.4378  0.2928  4 Te 3.25-3.35
Te  0.3213  0.8263  0.6425  7 Tl 3.25-3.51
S  0.2500  0.0000  0.0000  6 Tl 2.94-3.05
Tl  0.0905  0.0908  0.6643  1 S 3.05, 2 Te 3.24-3.29, 1 Tl 3.40
Tl  0.9095  0.9092  0.3357  1 S 3.05, 2 Te 3.24-3.29, 1 Tl 3.40



# 3
Computed, not measured: a geometry-optimized Tl10Te4S structure at the PBE-GGA level of DFT.

Calculated values
Its raw total energy is -0.216 Ry per atom. As for the crystal system: tetragonal. The formation energy without anion corrections is -245 meV per atom.

Unit cell a=7.7805 b=9.5415 c=9.5415 alpha=80.43 beta=65.94 gamma=65.94
Closest atoms and distances in Å follow each position.
Positions (direct):
Te  0.3983  0.8044  0.3989  8 Tl 3.40-3.43
Tl  0.3328  0.7146  0.0953  1 S 3.21, 3 Te 3.40-3.43
Tl  0.5719  0.0953  0.2854  1 S 3.21, 3 Te 3.40-3.43
Tl  0.9526  0.9047  0.7146  1 S 3.21, 3 Te 3.40-3.43
Tl  0.6672  0.2854  0.9047  1 S 3.21, 3 Te 3.40-3.43
Te  0.7972  0.6011  0.8044  8 Tl 3.40-3.43
Tl  0.4281  0.9047  0.7146  1 S 3.21, 3 Te 3.40-3.43
Tl  0.1427  0.2854  0.9047  1 S 3.21, 3 Te 3.40-3.43
Tl  0.2500  0.5000  0.5000  4 Te 3.40
S  0.0000  0.0000  0.0000  8 Tl 3.21
Tl  0.0474  0.0953  0.2854  1 S 3.21, 3 Te 3.40-3.43
Te  0.2028  0.3989  0.1956  8 Tl 3.40-3.43
Te  0.6017  0.1956  0.6011  8 Tl 3.40-3.43
Tl  0.7500  0.5000  0.5000  4 Te 3.40
Tl  0.8573  0.7146  0.0953  1 S 3.21, 3 Te 3.40-3.43



# 4
Computed, not measured: a geometry-optimized Tl2TeS2 structure at the PBE-GGA level of DFT.

Calculated values
Its raw total energy is -0.251 Ry per atom. As for the crystal system: monoclinic. The formation energy without anion corrections is -195 meV per atom.

Unit cell a=5.5415 b=5.4939 c=10.9205 alpha=90.00 beta=80.86 gamma=90.00
Closest atoms and distances in Å follow each position.
Positions (direct):
S  0.3034  0.0463  0.8140  1 Te 2.44
Te  0.7074  0.9701  0.2504  2 S 2.44-2.45
S  0.1104  0.0012  0.3141  1 Te 2.45
Tl  0.2200  0.3409  0.0793  4 S 3.15-3.29
Tl  0.7800  0.8409  0.9207  4 S 3.15-3.29
S  0.6966  0.5463  0.1860  1 Te 2.44
Te  0.2926  0.4701  0.7496  2 S 2.44-2.45
Tl  0.7302  0.0071  0.5774  4 S 3.14-3.28
Tl  0.2698  0.5071  0.4226  4 S 3.14-3.28
S  0.8896  0.5012  0.6859  1 Te 2.45



# 5
Computed, not measured: a geometry-optimized Tl6Te3S structure at the PBE-GGA level of DFT.

Calculated values
Its raw total energy is -0.221 Ry per atom. As for the crystal system: monoclinic. For the relative energy among the computed polymorphs, the calculation gives 26.3 meV per atom. The formation energy without anion corrections is -231 meV per atom.

Unit cell a=4.7379 b=11.7940 c=13.7224 alpha=99.61 beta=90.00 gamma=90.00
Closest atoms and distances in Å follow each position.
Positions (direct):
Tl  0.2500  0.5940  0.9434  4 Te 3.18-3.24
Te  0.7500  0.1505  0.1020  6 Tl 3.18-3.29
Tl  0.7500  0.4683  0.6163  4 Te 2.97-3.09
Tl  0.2500  0.5317  0.3837  4 Te 2.97-3.09
Te  0.2500  0.5543  0.1711  4 Tl 2.97-3.24
Tl  0.2500  0.1251  0.9392  3 Te 3.20-3.24, 1 Tl 3.42
Te  0.2500  0.3363  0.5084  4 Tl 3.08-3.40
Tl  0.7500  0.1069  0.4486  3 S 2.85-3.14
Te  0.2500  0.8495  0.8980  6 Tl 3.18-3.29
Tl  0.2500  0.1675  0.2705  1 S 3.01, 2 Te 3.29
Tl  0.7500  0.8749  0.0608  3 Te 3.20-3.24, 1 Tl 3.42
S  0.2500  0.9491  0.3570  6 Tl 2.85-3.14
Tl  0.7500  0.7950  0.2892  2 S 3.04, 1 Te 3.40
Tl  0.7500  0.4060  0.0566  4 Te 3.18-3.24
Te  0.7500  0.6637  0.4916  4 Tl 3.08-3.40
Te  0.7500  0.4457  0.8289  4 Tl 2.97-3.24
S  0.7500  0.0509  0.6430  6 Tl 2.85-3.14
Tl  0.2500  0.2050  0.7108  2 S 3.04, 1 Te 3.40
Tl  0.7500  0.8325  0.7295  1 S 3.01, 2 Te 3.29
Tl  0.2500  0.8931  0.5514  3 S 2.85-3.14



# 6
Computed, not measured: a geometry-optimized Tl3TeS structure at the PBE-GGA level of DFT.

Calculated values
Its raw total energy is -0.183 Ry per atom. As for the crystal system: cubic. For the relative energy among the computed polymorphs, the calculation gives 637.8 meV per atom. The formation energy without anion corrections is 386 meV per atom.

Unit cell a=6.0833 b=6.0833 c=6.0833 alpha=90.00 beta=90.00 gamma=90.00
Closest atoms and distances in Å follow each position.
Positions (direct):
Tl  0.0000  0.5000  0.0000  2 Te 3.04
Te  0.0000  0.0000  0.0000  6 Tl 3.04
S  0.5000  0.5000  0.5000  12 Tl 4.30
Tl  0.0000  0.0000  0.5000  2 Te 3.04
Tl  0.5000  0.0000  0.0000  2 Te 3.04



# 7
Computed, not measured: a geometry-optimized Tl12Te3S5 structure at the PBE-GGA level of DFT.

Calculated values
Its raw total energy is -0.229 Ry per atom. As for the crystal system: cubic. The formation energy without anion corrections is -198 meV per atom.

Unit cell a=15.6522 b=15.6522 c=15.6522 alpha=109.47 beta=109.47 gamma=109.47
Closest atoms and distances in Å follow each position.
Positions (direct):
Tl  0.4183  0.1334  0.5907  2 S 2.83-3.00
Tl  0.8276  0.9183  0.2849  2 S 2.83-3.00
Tl  0.4093  0.3666  0.5817  2 S 2.83-3.00
S  0.6250  0.8750  0.2500  4 Tl 2.83
Tl  0.6334  0.5907  0.9183  2 S 2.83-3.00
Tl  0.8666  0.2849  0.4573  2 S 2.83-3.00
Tl  0.9573  0.3666  0.2849  2 S 2.83-3.00
Te  0.7500  0.8750  0.6250  8 Tl 3.34-3.45
Tl  0.8276  0.9093  0.0427  2 S 2.83-3.00
Tl  0.0817  0.9093  0.3666  2 S 2.83-3.00
Tl  0.6724  0.2151  0.5817  2 S 2.83-3.00
Tl  0.9093  0.0817  0.8666  2 S 2.83-3.00
S  0.0000  0.0000  0.0000  6 Tl 3.00
S  0.1250  0.3750  0.2500  4 Tl 2.83
S  0.8750  0.6250  0.7500  4 Tl 2.83
Tl  0.5907  0.6334  0.4183  2 S 2.83-3.00
Tl  0.1334  0.4183  0.0907  2 S 2.83-3.00
Tl  0.5907  0.9573  0.6724  2 S 2.83-3.00
S  0.0000  0.5000  0.5000  6 Tl 3.00
Tl  0.0907  0.1724  0.4573  2 S 2.83-3.00
Tl  0.4573  0.7849  0.8666  2 S 2.83-3.00
S  0.3750  0.1250  0.7500  4 Tl 2.83
S  0.5000  0.5000  0.0000  6 Tl 3.00
Tl  0.6724  0.4573  0.5907  2 S 2.83-3.00
Tl  0.1334  0.7151  0.5427  2 S 2.83-3.00
Tl  0.9093  0.8276  0.5427  2 S 2.83-3.00
Tl  0.3276  0.5427  0.4093  2 S 2.83-3.00
Te  0.2500  0.6250  0.8750  8 Tl 3.34-3.45
Tl  0.6334  0.0427  0.2151  2 S 2.83-3.00
S  0.7500  0.1250  0.8750  4 Tl 2.83
S  0.5000  0.0000  0.5000  6 Tl 3.00
Tl  0.0817  0.1724  0.2151  2 S 2.83-3.00
Tl  0.2849  0.4183  0.8276  2 S 2.83-3.00
Tl  0.5817  0.7151  0.6724  2 S 2.83-3.00
Tl  0.0427  0.6334  0.7151  2 S 2.83-3.00
S  0.3750  0.2500  0.1250  4 Tl 2.83
Te  0.1250  0.8750  0.7500  8 Tl 3.34-3.45
S  0.2500  0.8750  0.1250  4 Tl 2.83
Tl  0.2849  0.8666  0.9573  2 S 2.83-3.00
Tl  0.4183  0.2849  0.3276  2 S 2.83-3.00
Tl  0.1724  0.0907  0.9573  2 S 2.83-3.00
S  0.2500  0.3750  0.6250  4 Tl 2.83
S  0.0000  0.0000  0.5000  6 Tl 3.00
Tl  0.1724  0.0817  0.7151  2 S 2.83-3.00
Tl  0.4573  0.6724  0.0907  2 S 2.83-3.00
S  0.7500  0.6250  0.3750  4 Tl 2.83
Te  0.7500  0.3750  0.1250  8 Tl 3.34-3.45
S  0.8750  0.2500  0.6250  4 Tl 2.83
Tl  0.8666  0.5817  0.9093  2 S 2.83-3.00
Tl  0.0427  0.4093  0.8276  2 S 2.83-3.00
Tl  0.9183  0.0907  0.6334  2 S 2.83-3.00
Tl  0.7151  0.1334  0.0427  2 S 2.83-3.00
Tl  0.5817  0.8666  0.4093  2 S 2.83-3.00
Tl  0.4093  0.0427  0.3276  2 S 2.83-3.00
Tl  0.0907  0.9183  0.1334  2 S 2.83-3.00
Te  0.8750  0.7500  0.1250  8 Tl 3.34-3.45
Tl  0.3666  0.9573  0.7849  2 S 2.83-3.00
Te  0.3750  0.7500  0.6250  8 Tl 3.34-3.45
S  0.5000  0.0000  0.0000  6 Tl 3.00
Te  0.1250  0.2500  0.8750  8 Tl 3.34-3.45
Tl  0.9573  0.5907  0.1724  2 S 2.83-3.00
Tl  0.9183  0.8276  0.7849  2 S 2.83-3.00
Te  0.6250  0.3750  0.7500  8 Tl 3.34-3.45
S  0.6250  0.7500  0.8750  4 Tl 2.83
Tl  0.5427  0.2151  0.1334  2 S 2.83-3.00
S  0.5000  0.5000  0.5000  6 Tl 3.00
Tl  0.5427  0.3276  0.9093  2 S 2.83-3.00
Te  0.3750  0.6250  0.2500  8 Tl 3.34-3.45
S  0.0000  0.5000  0.0000  6 Tl 3.00
Tl  0.2151  0.6724  0.0817  2 S 2.83-3.00
Tl  0.3276  0.7849  0.4183  2 S 2.83-3.00
S  0.1250  0.7500  0.3750  4 Tl 2.83
Tl  0.7849  0.3276  0.9183  2 S 2.83-3.00
Tl  0.3666  0.4093  0.0817  2 S 2.83-3.00
Tl  0.7151  0.5817  0.1724  2 S 2.83-3.00
Te  0.2500  0.1250  0.3750  8 Tl 3.34-3.45
Tl  0.2151  0.5427  0.6334  2 S 2.83-3.00
Tl  0.7849  0.4573  0.3666  2 S 2.83-3.00
Te  0.6250  0.2500  0.3750  8 Tl 3.34-3.45
Te  0.8750  0.1250  0.2500  8 Tl 3.34-3.45